Material: La4Ti3S4O8
Method: DFT, PBEsol
State: relaxed

Size of the total moment (μB per cell): 0.00
Crystal system: monoclinic
Calculated volume (Å³ per atom): 15.59
Formation energy (no corrections) (eV per atom): -2.912
Space group: No. 5

Cell and atoms, written as CIF:
```
data_La4Ti3S4O8
_chemical_formula_sum 'La8 Ti6 S8 O16'
_space_group_name_H-M_alt 'P 1'
_space_group_IT_number 1
_cell_length_a 9.363
_cell_length_b 9.363
_cell_length_c 17.710
_cell_angle_alpha 109.48
_cell_angle_beta 109.48
_cell_angle_gamma 23.95
loop_
_space_group_symop_operation_xyz
'x,y,z'
loop_
_atom_site_label
_atom_site_type_symbol
_atom_site_fract_x
_atom_site_fract_y
_atom_site_fract_z
_atom_site_occupancy
La1 La 0.052 0.052 0.185 1
La2 La 0.148 0.122 0.438 1
La3 La 0.192 0.184 0.677 1
La4 La 0.311 0.285 0.929 1
La5 La 0.715 0.689 0.071 1
La6 La 0.816 0.808 0.323 1
La7 La 0.878 0.852 0.562 1
La8 La 0.948 0.948 0.815 1
Ti1 Ti 0.383 0.318 0.172 1
Ti2 Ti 0.429 0.571 0.000 1
Ti3 Ti 0.471 0.513 0.311 1
Ti4 Ti 0.487 0.529 0.689 1
Ti5 Ti 0.682 0.617 0.828 1
Ti6 Ti 0.689 0.311 0.500 1
S1 S 0.095 0.063 0.970 1
S2 S 0.225 0.210 0.200 1
S3 S 0.290 0.287 0.436 1
S4 S 0.374 0.357 0.690 1
S5 S 0.643 0.626 0.310 1
S6 S 0.713 0.710 0.564 1
S7 S 0.790 0.775 0.800 1
S8 S 0.937 0.905 0.030 1
O1 O 0.003 0.981 0.690 1
O2 O 0.019 0.997 0.310 1
O3 O 0.054 0.097 0.551 1
O4 O 0.170 0.158 0.822 1
O5 O 0.295 0.272 0.064 1
O6 O 0.390 0.383 0.297 1
O7 O 0.439 0.424 0.896 1
O8 O 0.473 0.441 0.575 1
O9 O 0.473 0.445 0.192 1
O10 O 0.555 0.527 0.808 1
O11 O 0.559 0.527 0.425 1
O12 O 0.576 0.561 0.104 1
O13 O 0.617 0.610 0.703 1
O14 O 0.728 0.705 0.936 1
O15 O 0.842 0.830 0.178 1
O16 O 0.903 0.946 0.449 1
```